Here is a geometry-optimized Ce2NiAs4Ru3 structure from Alexandria via LeMat-Bulk. Energies are from PBE-GGA.

Output
**Total moment**: 0.016 μB/atom
**Electronic total energy**: -71.0 eV/cell
**ρ**: 8.73 Mg/m³
**Calculated formation energy**: -0.691 eV per atom

Cell: 4.279 4.279 9.783 Å, 90.00 90.00 90.00°
Element x y z (fractional)
Ce1 0.000 0.500 0.248
Ce2 0.500 0.000 0.752
Ni1 0.000 0.000 0.500
As1 0.000 0.000 0.000
As2 0.000 0.500 0.631
As3 0.500 0.000 0.369
As4 0.500 0.500 0.000
Ru1 0.000 0.500 0.878
Ru2 0.500 0.000 0.122
Ru3 0.500 0.500 0.500

Here is a geometry-optimized CsTlAsI6 structure from Alexandria via LeMat-Bulk. Energies are from PBE-GGA.

Output
**Total moment**: 0.000 μB/atom
**Electronic total energy**: -21.7 eV/cell
**Uncorrected formation energy**: -4.53 eV per formula unit
**ρ**: 4.11 Mg/m³

Cell: 8.000 8.000 8.556 Å, 90.00 90.00 120.00°
Element x y z (fractional)
Cs1 0.000 0.000 0.000
Tl1 0.667 0.333 0.500
As1 0.333 0.667 0.500
I1 0.034 0.390 0.705
I2 0.034 0.644 0.295
I3 0.356 0.390 0.295
I4 0.356 0.966 0.705
I5 0.610 0.644 0.705
I6 0.610 0.966 0.295

Here is a geometry-optimized Cr3AuCl structure from Alexandria via LeMat-Bulk. Energies are from PBE-GGA.

Output
**Total moment**: 2.698 μB/atom
**Distance to the lowest polymorph of the same formula**: 261 meV/atom
**Electronic total energy**: -28.6 eV/cell
**Uncorrected formation energy**: 5.35 eV per formula unit
**ρ**: 4.90 Mg/m³

Cell: 5.088 5.088 5.088 Å, 90.00 90.00 90.00°
Element x y z (fractional)
Cr1 0.000 0.000 0.500
Cr2 0.000 0.500 0.000
Cr3 0.500 0.000 0.000
Au1 0.000 0.000 0.000
Cl1 0.500 0.500 0.500

Here is a geometry-optimized MnTlAsBr2 structure from Alexandria via LeMat-Bulk. Energies are from PBE-GGA.

Output
**Total moment**: 0.859 μB/atom
**Distance to the lowest polymorph of the same formula**: 808 meV/atom
**Electronic total energy**: -16.7 eV/cell
**Uncorrected formation energy**: 2.85 eV per formula unit
**ρ**: 4.55 Mg/m³

Cell: 5.724 5.724 5.502 Å, 90.00 90.00 90.00°
Element x y z (fractional)
Mn1 0.000 0.000 0.000
Tl1 0.500 0.500 0.500
As1 0.500 0.500 0.000
Br1 0.000 0.500 0.500
Br2 0.500 0.000 0.500

Here is a geometry-optimized Cd3Sn2Hg3 structure from Alexandria via LeMat-Bulk. Energies are from PBE-GGA.

Output
**Total moment**: 0.000 μB/atom
**Distance to the lowest polymorph of the same formula**: 0 meV/atom
**Electronic total energy**: -11.3 eV/cell
**ρ**: 9.59 Mg/m³
**Calculated formation energy**: 0.046 eV per atom

Cell: 3.148 5.730 11.293 Å, 90.00 90.00 90.00°
Element x y z (fractional)
Cd1 0.000 0.000 0.000
Cd2 0.000 0.500 0.251
Cd3 0.000 0.500 0.749
Sn1 0.500 0.000 0.245
Sn2 0.500 0.000 0.755
Hg1 0.000 0.000 0.500
Hg2 0.500 0.500 0.000
Hg3 0.500 0.500 0.500

Here is a geometry-optimized Ba2CaMgAs structure from Alexandria via LeMat-Bulk. Energies are from PBE-GGA.

Output
**Total moment**: 0.238 μB/atom
**Electronic total energy**: -14.2 eV/cell
**ρ**: 2.95 Mg/m³
**Calculated formation energy**: -0.425 eV per atom

Cell: 6.443 6.443 5.623 Å, 90.00 90.00 90.00°
Element x y z (fractional)
Ba1 0.000 0.500 0.000
Ba2 0.500 0.000 0.000
Ca1 0.000 0.000 0.500
Mg1 0.500 0.500 0.500
As1 0.000 0.000 0.000

Here is a geometry-optimized TlCrTe2 structure from Alexandria via LeMat-Bulk. Energies are from PBE-GGA.

Output
**Total moment**: 0.750 μB/atom
**Electronic total energy**: -37.2 eV/cell
**Uncorrected formation energy**: -0.35 eV per formula unit
**ρ**: 6.50 Mg/m³

Cell: 6.977 6.977 6.977 Å, 110.36 110.36 107.71°
Element x y z (fractional)
Tl1 0.000 0.000 0.000
Tl2 0.750 0.250 0.500
Cr1 0.250 0.750 0.500
Cr2 0.500 0.500 0.000
Te1 0.206 0.625 0.081
Te2 0.375 0.456 0.581
Te3 0.544 0.125 0.919
Te4 0.875 0.794 0.419

Here is a geometry-optimized LiYZnAu2 structure from Alexandria via LeMat-Bulk. Energies are from PBE-GGA.

Output
**Total moment**: 0.000 μB/atom
**Electronic total energy**: -18.6 eV/cell
**ρ**: 8.38 Mg/m³
**Calculated formation energy**: -0.473 eV per atom

Cell: 4.371 4.371 6.647 Å, 90.00 90.00 120.00°
Element x y z (fractional)
Li1 0.000 0.000 0.000
Y1 0.667 0.333 0.376
Zn1 0.333 0.667 0.734
Au1 0.000 0.000 0.612
Au2 0.333 0.667 0.134